First-principles (GGA+U) data for ZnCoO3 after structural relaxation, as listed in Alexandria.

- magnetic moment (μB/cell) = 4.3
- uncorrected energy (eV/atom) = -5.114

Lattice parameters (Å, degrees): 5.085 7.349 4.984 90.00 90.00 90.00
Space group Pnma (No. 62)
Inequivalent atoms, fractional coordinates:
Zn1 0.051 0.250 0.010 x4
Co1 0.000 0.000 0.500 x4
O1 0.060 0.750 0.379 x4
O2 0.189 0.565 0.810 x8